[1]
TbCeNd6 | Alexandria | GGA-PBE | optimized geometry; total DFT energy (no corrections) = -4.848 eV/atom; magnetic moment = 1.00 μB per cell; density = 7.05 g cm⁻³; ΔH_f (0 K) = 5 kJ per mole of atoms
1.0
5.158 0.000 0.000
0.000 5.158 0.000
0.000 0.000 10.315
Tb Ce Nd
1 1 6
direct
0.000 0.000 0.000
0.000 0.000 0.500
0.000 0.500 0.252
0.000 0.500 0.748
0.500 0.000 0.252
0.500 0.000 0.748
0.500 0.500 0.000
0.500 0.500 0.500

***

[2]
Y2C | Alexandria | GGA-PBE | optimized geometry; total DFT energy (no corrections) = -7.341 eV/atom; magnetic moment = 0.00 μB per cell; density = 4.62 g cm⁻³; ΔH_f (0 K) = 4 kJ per mole of atoms
1.0
1.783 1.030 6.189
-1.783 1.030 6.189
0.000 -2.059 6.189
Y C
2 1
direct
0.000 0.000 0.000
0.155 0.155 0.155
0.746 0.746 0.746

***

[3]
BaIn2TcSn | Alexandria | GGA-PBE | optimized geometry; total DFT energy (no corrections) = -4.563 eV/atom; magnetic moment = 0.00 μB per cell; density = 6.70 g cm⁻³; ΔH_f (0 K) = -20 kJ per mole of atoms
1.0
5.275 0.000 0.000
0.000 5.275 0.000
0.000 0.000 5.201
Ba In Tc Sn
1 2 1 1
direct
0.000 0.000 0.000
0.000 0.500 0.500
0.500 0.000 0.500
0.500 0.500 0.500
0.500 0.500 0.000

***

[4]
PrPu2CoN4 | Alexandria | GGA-PBE | optimized geometry; total DFT energy (no corrections) = -10.273 eV/atom; ΔE_f (raw) = -100.5 kJ per mole of atoms; magnetic moment = 11.99 μB per cell; density = 11.04 g cm⁻³
1.0
1.724 -5.684 0.000
1.724 5.684 0.000
0.000 0.000 11.413
Pr Pu Co N
2 4 2 8
direct
0.102 0.898 0.750
0.898 0.102 0.250
0.369 0.631 0.556
0.369 0.631 0.944
0.631 0.369 0.056
0.631 0.369 0.444
0.160 0.840 0.250
0.840 0.160 0.750
0.000 0.000 0.000
0.000 0.000 0.500
0.262 0.738 0.112
0.262 0.738 0.388
0.439 0.561 0.750
0.561 0.439 0.250
0.738 0.262 0.612
0.738 0.262 0.888

***

[5]
Na2MgGa3Ag12 | Alexandria | GGA-PBE | optimized geometry; total DFT energy (no corrections) = -2.589 eV/atom; magnetic moment = 0.00 μB per cell; density = 7.40 g cm⁻³; ΔH_f (0 K) = 5 kJ per mole of atoms
1.0
4.736 2.734 4.547
-4.736 2.734 4.547
0.000 -5.469 4.547
Na Mg Ga Ag
2 1 3 12
direct
0.116 0.116 0.116
0.884 0.884 0.884
0.500 0.500 0.500
0.000 0.500 0.500
0.500 0.000 0.500
0.500 0.500 0.000
0.118 0.118 0.568
0.118 0.568 0.118
0.195 0.695 0.695
0.305 0.305 0.805
0.305 0.805 0.305
0.432 0.882 0.882
0.568 0.118 0.118
0.695 0.195 0.695
0.695 0.695 0.195
0.805 0.305 0.305
0.882 0.432 0.882
0.882 0.882 0.432

***

[6]
TiAg2Bi | Alexandria | GGA-PBE | optimized geometry; total DFT energy (no corrections) = -4.067 eV/atom; magnetic moment = 1.43 μB per cell; density = 8.90 g cm⁻³; ΔH_f (0 K) = 29 kJ per mole of atoms
1.0
-3.956 3.956 2.817
3.956 -3.956 2.817
3.956 3.956 -2.817
Ti Ag Bi
2 4 2
direct
0.000 0.000 0.000
0.750 0.250 0.500
0.111 0.625 0.986
0.375 0.361 0.486
0.639 0.125 0.014
0.875 0.889 0.514
0.250 0.750 0.500
0.500 0.500 0.000

***

[7]
SrCuP | Alexandria | GGA-PBE | optimized geometry; total DFT energy (no corrections) = -4.369 eV/atom; magnetic moment = 0.00 μB per cell; density = 4.77 g cm⁻³; ΔH_f (0 K) = -62 kJ per mole of atoms
1.0
-2.102 2.102 7.181
2.102 -2.102 7.181
2.102 2.102 -7.181
Sr Cu P
2 2 2
direct
0.000 0.000 0.000
0.750 0.250 0.500
0.163 0.663 0.500
0.337 0.837 0.500
0.416 0.416 0.000
0.584 0.584 0.000

***

[8]
HfPaTaRe | Alexandria | GGA-PBE | optimized geometry; total DFT energy (no corrections) = -10.949 eV/atom; magnetic moment = 0.00 μB per cell; density = 16.29 g cm⁻³; ΔH_f (0 K) = -1 kJ per mole of atoms
1.0
0.000 3.408 3.408
3.408 0.000 3.408
3.408 3.408 0.000
Hf Pa Ta Re
1 1 1 1
direct
0.000 0.000 0.000
0.500 0.500 0.500
0.750 0.750 0.750
0.250 0.250 0.250